# 1
Below is a geometry-optimized Li2Ga4Au3 structure, with properties calculated at the PBE level.

Output
E_tot: -3.19 eV/atom
ΔE_f: -0.33 eV/atom
V: 303.8 Å³/cell

```
data_Li2Ga4Au3
_chemical_formula_sum 'Li4 Ga8 Au6'
_cell_length_a 7.8326
_cell_length_b 4.5237
_cell_length_c 8.5733
_cell_angle_alpha 90.00
_cell_angle_beta 90.03
_cell_angle_gamma 90.00
_symmetry_space_group_name_H-M 'C 1 2/m 1'
_symmetry_Int_Tables_number 12
_symmetry_space_group_name_Hall '-C 2y'
loop_
_atom_site_label
_atom_site_type_symbol
_atom_site_fract_x
_atom_site_fract_y
_atom_site_fract_z
_atom_site_occupancy
Li1 Li 0.1678 0.0000 0.2520 1
Ga1 Ga 0.0004 0.5000 0.1655 1
Ga2 Ga 0.1662 0.0000 0.5952 1
Au1 Au 0.0000 0.5000 0.5000 1
Au2 Au 0.1664 0.0000 0.9063 1
```

# 2
Below is a geometry-optimized TbNd2HoEr6 structure, with properties calculated at the PBE level.

Output
E_tot: -4.49 eV/atom
ΔE_f: 0.12 eV/atom
V: 1279.2 Å³/cell

```
data_TbNd2HoEr6
_chemical_formula_sum 'Tb4 Nd8 Ho4 Er24'
_cell_length_a 8.9731
_cell_length_b 14.9629
_cell_length_c 9.6477
_cell_angle_alpha 90.00
_cell_angle_beta 99.06
_cell_angle_gamma 90.00
_symmetry_space_group_name_H-M 'C 1 2/c 1'
_symmetry_Int_Tables_number 15
_symmetry_space_group_name_Hall '-C 2yc'
loop_
_atom_site_label
_atom_site_type_symbol
_atom_site_fract_x
_atom_site_fract_y
_atom_site_fract_z
_atom_site_occupancy
Tb1 Tb 0.0000 0.0182 0.2500 1
Nd1 Nd 0.2449 0.0517 0.5427 1
Ho1 Ho 0.0000 0.4066 0.7500 1
Er1 Er 0.0661 0.1908 0.9426 1
Er2 Er 0.1014 0.3942 0.1190 1
Er3 Er 0.2012 0.2235 0.3133 1
```

# 3
Below is a geometry-optimized Sr3PbI2Cl6 structure, with properties calculated at the PBE level.

Output
E_tot: -3.83 eV/atom
V: 913.0 Å³/cell
ΔE_f (raw): -1.916 eV per atom

```
data_Sr3PbI2Cl6
_chemical_formula_sum 'Sr6 Pb2 I4 Cl12'
_cell_length_a 15.4467
_cell_length_b 8.7549
_cell_length_c 6.8053
_cell_angle_alpha 90.00
_cell_angle_beta 97.23
_cell_angle_gamma 90.00
_symmetry_space_group_name_H-M 'C 1 2/m 1'
_symmetry_Int_Tables_number 12
_symmetry_space_group_name_Hall '-C 2y'
loop_
_atom_site_label
_atom_site_type_symbol
_atom_site_fract_x
_atom_site_fract_y
_atom_site_fract_z
_atom_site_occupancy
Sr1 Sr 0.0000 0.0000 0.0000 1
Sr2 Sr 0.2500 0.2500 0.5000 1
Pb1 Pb 0.0000 0.5000 0.5000 1
I1 I 0.1832 0.0000 0.8032 1
Cl1 Cl 0.0739 0.2478 0.2740 1
Cl2 Cl 0.1765 0.5000 0.6991 1
```

# 4
Below is a geometry-optimized LiH2BrO structure, with properties calculated at the PBE level.

Output
E_tot: -2.84 eV/atom
V: 60.3 Å³/cell

```
data_LiH2BrO
_chemical_formula_sum 'Li1 H2 Br1 O1'
_cell_length_a 3.4292
_cell_length_b 3.4292
_cell_length_c 5.1287
_cell_angle_alpha 90.00
_cell_angle_beta 90.00
_cell_angle_gamma 90.00
_symmetry_space_group_name_H-M 'P 4/m m m'
_symmetry_Int_Tables_number 123
_symmetry_space_group_name_Hall '-P 4 2'
loop_
_atom_site_label
_atom_site_type_symbol
_atom_site_fract_x
_atom_site_fract_y
_atom_site_fract_z
_atom_site_occupancy
Li1 Li 0.0000 0.0000 0.0000 1
H1 H 0.0000 0.5000 0.5000 1
Br1 Br 0.5000 0.5000 0.5000 1
O1 O 0.5000 0.5000 0.0000 1
```

# 5
Below is a geometry-optimized TlHg2Ru structure, with properties calculated at the PBE level.

Output
E_tot: -2.55 eV/atom
ΔE_f: 0.51 eV/atom
V: 83.4 Å³/cell

```
data_TlHg2Ru
_chemical_formula_sum 'Tl1 Hg2 Ru1'
_cell_length_a 3.6288
_cell_length_b 3.7080
_cell_length_c 6.1963
_cell_angle_alpha 90.00
_cell_angle_beta 90.00
_cell_angle_gamma 90.00
_symmetry_space_group_name_H-M 'P m m 2'
_symmetry_Int_Tables_number 25
_symmetry_space_group_name_Hall 'P 2 -2'
loop_
_atom_site_label
_atom_site_type_symbol
_atom_site_fract_x
_atom_site_fract_y
_atom_site_fract_z
_atom_site_occupancy
Tl1 Tl 0.0000 0.0000 0.0000 1
Hg1 Hg 0.0000 0.0000 0.5373 1
Hg2 Hg 0.5000 0.5000 0.2877 1
Ru1 Ru 0.5000 0.5000 0.7792 1
```

# 6
Below is a geometry-optimized ScSbS2N structure, with properties calculated at the PBE level.

Output
E_tot: -5.21 eV/atom
V: 99.7 Å³/cell
ΔE_f (raw): 0.197 eV per atom

```
data_ScSbS2N
_chemical_formula_sum 'Sc1 Sb1 S2 N1'
_cell_length_a 5.0476
_cell_length_b 5.0476
_cell_length_c 3.9145
_cell_angle_alpha 90.00
_cell_angle_beta 90.00
_cell_angle_gamma 90.00
_symmetry_space_group_name_H-M 'P 4/m m m'
_symmetry_Int_Tables_number 123
_symmetry_space_group_name_Hall '-P 4 2'
loop_
_atom_site_label
_atom_site_type_symbol
_atom_site_fract_x
_atom_site_fract_y
_atom_site_fract_z
_atom_site_occupancy
Sc1 Sc 0.0000 0.0000 0.0000 1
Sb1 Sb 0.5000 0.5000 0.5000 1
S1 S 0.0000 0.5000 0.5000 1
N1 N 0.5000 0.5000 0.0000 1
```

# 7
Below is a geometry-optimized GdCBr structure, with properties calculated at the PBE level.

Output
E_tot: -9.41 eV/atom
V: 292.3 Å³/cell
ΔE_f (raw): -1.082 eV per atom

```
data_GdCBr
_chemical_formula_sum 'Gd4 C4 Br4'
_cell_length_a 7.1281
_cell_length_b 3.8700
_cell_length_c 10.7465
_cell_angle_alpha 90.00
_cell_angle_beta 99.58
_cell_angle_gamma 90.00
_symmetry_space_group_name_H-M 'C 1 2/m 1'
_symmetry_Int_Tables_number 12
_symmetry_space_group_name_Hall '-C 2y'
loop_
_atom_site_label
_atom_site_type_symbol
_atom_site_fract_x
_atom_site_fract_y
_atom_site_fract_z
_atom_site_occupancy
Gd1 Gd 0.0925 0.0000 0.3614 1
C1 C 0.0873 0.5000 0.5338 1
Br1 Br 0.2054 0.5000 0.1830 1
```

# 8
Below is a geometry-optimized KNa2PaBr8 structure, with properties calculated at the PBE level.

Output
E_tot: -3.70 eV/atom
V: 487.6 Å³/cell
ΔE_f (raw): -1.479 eV per atom

```
data_KNa2PaBr8
_chemical_formula_sum 'K1 Na2 Pa1 Br8'
_cell_length_a 7.0224
_cell_length_b 7.2217
_cell_length_c 9.7307
_cell_angle_alpha 83.87
_cell_angle_beta 83.77
_cell_angle_gamma 87.88
_symmetry_space_group_name_H-M 'P -1'
_symmetry_Int_Tables_number 2
_symmetry_space_group_name_Hall '-P 1'
loop_
_atom_site_label
_atom_site_type_symbol
_atom_site_fract_x
_atom_site_fract_y
_atom_site_fract_z
_atom_site_occupancy
K1 K 0.0000 0.0000 0.0000 1
Na1 Na 0.4306 0.4480 0.1936 1
Pa1 Pa 0.0000 0.0000 0.5000 1
Br1 Br 0.2022 0.8144 0.6977 1
Br2 Br 0.2293 0.8421 0.2973 1
Br3 Br 0.2425 0.2904 0.4785 1
Br4 Br 0.2952 0.3238 0.9623 1
```

# 9
Below is a geometry-optimized ThTl2Hg6 structure, with properties calculated at the PBE level.

Output
E_tot: -1.63 eV/atom
ΔE_f: -0.08 eV/atom
V: 242.0 Å³/cell

```
data_ThTl2Hg6
_chemical_formula_sum 'Th1 Tl2 Hg6'
_cell_length_a 5.1178
_cell_length_b 5.1178
_cell_length_c 10.6675
_cell_angle_alpha 90.00
_cell_angle_beta 90.00
_cell_angle_gamma 120.00
_symmetry_space_group_name_H-M 'P -3 m 1'
_symmetry_Int_Tables_number 164
_symmetry_space_group_name_Hall '-P 3 2"'
loop_
_atom_site_label
_atom_site_type_symbol
_atom_site_fract_x
_atom_site_fract_y
_atom_site_fract_z
_atom_site_occupancy
Th1 Th 0.0000 0.0000 0.0000 1
Tl1 Tl 0.3333 0.6667 0.4380 1
Hg1 Hg 0.0000 0.0000 0.3183 1
Hg2 Hg 0.3333 0.6667 0.1371 1
Hg3 Hg 0.3333 0.6667 0.8339 1
```